DFT (GGA-PBE) results for a relaxed structure of LaScTa. Values from VASP.

```
&SYSTEM
  ibrav = 0, nat = 3, ntyp = 3
/
ATOMIC_SPECIES
La 138.91 La.upf
Sc 44.96 Sc.upf
Ta 180.95 Ta.upf
CELL_PARAMETERS angstrom
-1.5760 1.5760 7.6229
1.5760 -1.5760 7.6229
1.5760 1.5760 -7.6229
ATOMIC_POSITIONS crystal
La 0.0000 0.0000 0.0000
Sc 0.7035 0.7035 0.0000
Ta 0.3358 0.3358 0.0000
```

Output
density	7.999	g cm⁻³
DFT total energy	-7.42	eV per atom
magnetization	0.0	μB per formula unit
crystal system	tetragonal
distance to the lowest polymorph of the same formula	0.0000	eV/atom
formation energy from the elements	0.28	eV per atom